Record 1
DFT (GGA-PBE) results for a relaxed structure of ScVAs2Se.

Values from the calculation:
* space-group type: No. 123
* formation energy without anion corrections: 581 meV per atom
* energy above the lowest structure with this stoichiometry: 0.716 eV per atom

POSCAR file:
```
ScVAs2Se
1.0
-1.955 -1.843 -4.263
-1.236 -4.252 2.405
-4.461 1.972 1.194
Se As V Sc
1 2 1 1
direct
0.000 0.000 0.500 Se
0.000 0.500 0.000 As
0.500 0.000 0.000 As
0.500 0.500 0.500 V
0.000 0.000 0.000 Sc
```

***

Record 2
DFT (GGA-PBE) results for a relaxed structure of Sr3BOs.

Values from the calculation:
* space-group type: No. 221
* calculated formation energy: 1.119 eV/atom
* energy above the lowest structure with this stoichiometry: 0.000 eV per atom

POSCAR file:
```
Sr3BOs
1.0
5.369 0.000 0.000
0.000 5.369 0.000
0.000 0.000 5.369
Sr Os B
3 1 1
direct
0.000 0.000 0.500 Sr
0.500 0.000 0.000 Sr
0.000 0.500 0.000 Sr
0.500 0.500 0.500 Os
0.000 0.000 0.000 B
```

***

Record 3
DFT (GGA-PBE) results for a relaxed structure of Tb4Nd2Sm.

Values from the calculation:
* space-group type: No. 10
* calculated formation energy: 0.198 eV/atom
* energy above the lowest structure with this stoichiometry: 0.000 eV per atom

POSCAR file:
```
Tb4Nd2Sm
1.0
6.349 -2.326 1.463
-0.009 6.897 1.397
-2.983 -1.986 9.788
Tb Nd Sm
8 4 2
direct
0.730 0.689 0.719 Tb
0.270 0.311 0.281 Tb
0.731 0.689 0.281 Tb
0.729 0.190 0.784 Tb
0.269 0.311 0.719 Tb
0.270 0.810 0.784 Tb
0.271 0.810 0.216 Tb
0.730 0.190 0.216 Tb
0.000 0.000 0.000 Nd
0.000 0.000 0.500 Nd
0.500 0.000 0.500 Nd
0.000 0.500 0.500 Nd
0.500 0.500 0.000 Sm
0.000 0.500 0.000 Sm
```

***

Record 4
DFT (GGA-PBE) results for a relaxed structure of LaZrSc2.

Values from the calculation:
* space-group type: No. 25
* calculated formation energy: 0.101 eV/atom
* energy above the lowest structure with this stoichiometry: 0.049 eV per atom

POSCAR file:
```
LaZrSc2
1.0
3.407 0.000 0.000
0.000 4.535 0.000
0.000 0.000 6.866
La Sc Zr
1 2 1
direct
0.500 0.500 0.743 La
0.500 0.500 0.258 Sc
0.000 0.000 0.022 Sc
0.000 0.000 0.477 Zr
```

***

Record 5
DFT (GGA-PBE) results for a relaxed structure of TiCd2Ni2.

Values from the calculation:
* space-group type: No. 127
* calculated formation energy: -0.033 eV/atom

POSCAR file:
```
TiCd2Ni2
1.0
-4.695 -3.671 1.851
1.133 -3.856 -4.774
2.636 -2.171 2.379
Cd Ti Ni
4 2 4
direct
0.827 0.327 0.500 Cd
0.673 0.827 0.500 Cd
0.327 0.173 0.500 Cd
0.173 0.673 0.500 Cd
0.000 0.000 0.000 Ti
0.500 0.500 0.000 Ti
0.367 0.867 0.000 Ni
0.867 0.633 0.000 Ni
0.133 0.367 0.000 Ni
0.633 0.133 0.000 Ni
```

***

Record 6
DFT (GGA-PBE) results for a relaxed structure of Be3SbI.

Values from the calculation:
* space-group type: No. 221
* formation energy without anion corrections: 1422 meV per atom
* energy above the lowest structure with this stoichiometry: 0.458 eV per atom

POSCAR file:
```
Be3SbI
1.0
4.767 0.000 0.000
0.000 4.767 0.000
0.000 0.000 4.767
I Be Sb
1 3 1
direct
0.000 0.000 0.000 I
0.000 0.000 0.500 Be
0.000 0.500 0.000 Be
0.500 0.000 0.000 Be
0.500 0.500 0.500 Sb
```

***

Record 7
DFT (GGA-PBE) results for a relaxed structure of AcNdPt10.

Values from the calculation:
* space-group type: No. 47
* calculated formation energy: -0.744 eV/atom

POSCAR file:
```
AcNdPt10
1.0
4.430 0.000 0.000
0.000 5.486 0.000
0.000 0.000 9.481
Pt Ac Nd
10 1 1
direct
0.000 0.500 0.172 Pt
0.500 0.251 0.253 Pt
0.000 0.000 0.663 Pt
0.500 0.251 0.747 Pt
0.000 0.500 0.828 Pt
0.000 0.000 0.337 Pt
0.500 0.749 0.747 Pt
0.500 0.749 0.253 Pt
0.500 0.000 0.500 Pt
0.500 0.500 0.000 Pt
0.000 0.000 0.000 Ac
0.000 0.500 0.500 Nd
```

***

Record 8
DFT (GGA-PBE) results for a relaxed structure of AlAgPt2.

Values from the calculation:
* space-group type: No. 119
* calculated formation energy: -0.405 eV/atom
* energy above the lowest structure with this stoichiometry: 0.248 eV per atom

POSCAR file:
```
AlAgPt2
1.0
-0.098 4.088 -2.675
1.251 -0.996 -4.618
-3.268 -2.021 3.019
Pt Ag Al
2 1 1
direct
0.250 0.750 0.500 Pt
0.000 0.000 0.000 Pt
0.500 0.500 0.000 Ag
0.750 0.250 0.500 Al
```

***

Record 9
DFT (GGA-PBE) results for a relaxed structure of Fe2HCl2.

Values from the calculation:
* space-group type: No. 139
* energy above the lowest structure with this stoichiometry: 0.000 eV per atom

POSCAR file:
```
Fe2HCl2
1.0
3.556 0.000 0.000
0.000 3.556 0.000
1.778 1.778 7.426
Fe Cl H
2 2 1
direct
0.250 0.750 0.500 Fe
0.750 0.250 0.500 Fe
0.639 0.639 0.722 Cl
0.361 0.361 0.278 Cl
0.000 0.000 0.000 H
```

***

Record 10
DFT (GGA-PBE) results for a relaxed structure of VNi2SnH.

Values from the calculation:
* space-group type: No. 123
* energy above the lowest structure with this stoichiometry: 0.582 eV per atom

POSCAR file:
```
VNi2SnH
1.0
4.586 0.000 0.000
0.000 3.274 0.000
0.000 0.000 4.586
Ni H V Sn
2 1 1 1
direct
0.500 0.000 0.000 Ni
0.000 0.000 0.500 Ni
0.000 0.500 0.000 H
0.000 0.000 0.000 V
0.500 0.500 0.500 Sn
```

***

Record 11
DFT (GGA-PBE) results for a relaxed structure of Mg2AgAs2.

Values from the calculation:
* space-group type: No. 139
* calculated formation energy: -0.144 eV/atom
* energy above the lowest structure with this stoichiometry: 0.054 eV per atom

POSCAR file:
```
Mg2AgAs2
1.0
4.721 0.000 0.000
0.000 4.721 0.000
2.361 2.361 4.971
As Ag Mg
2 1 2
direct
0.623 0.623 0.754 As
0.377 0.377 0.246 As
0.000 0.000 0.000 Ag
0.250 0.750 0.500 Mg
0.750 0.250 0.500 Mg
```

***

Record 12
DFT (GGA-PBE) results for a relaxed structure of Li4AlHg5.

Values from the calculation:
* space-group type: No. 123
* calculated formation energy: -0.276 eV/atom

POSCAR file:
```
Li4AlHg5
1.0
-2.150 -2.420 1.191
1.688 -0.021 3.007
-9.708 11.348 5.528
Li Hg Al
4 5 1
direct
0.000 0.000 0.200 Li
0.000 0.000 0.600 Li
0.000 0.000 0.800 Li
0.000 0.000 0.400 Li
0.500 0.500 0.500 Hg
0.500 0.500 0.895 Hg
0.500 0.500 0.302 Hg
0.500 0.500 0.698 Hg
0.500 0.500 0.105 Hg
0.000 0.000 0.000 Al
```

***

Record 13
DFT (GGA-PBE) results for a relaxed structure of Rb2VCoAs.

Values from the calculation:
* space-group type: No. 123
* calculated formation energy: 1.127 eV/atom

POSCAR file:
```
Rb2VCoAs
1.0
6.691 0.000 0.000
0.000 4.184 0.000
0.000 0.000 6.691
As V Rb Co
1 1 2 1
direct
0.500 0.500 0.500 As
0.000 0.000 0.000 V
0.500 0.000 0.000 Rb
0.000 0.000 0.500 Rb
0.000 0.500 0.000 Co
```

***

Record 14
DFT (GGA-PBE) results for a relaxed structure of Y2GaCu6.

Values from the calculation:
* space-group type: No. 164
* calculated formation energy: -0.247 eV/atom

POSCAR file:
```
Y2GaCu6
1.0
5.594 -0.001 0.002
0.002 4.764 -2.747
-0.001 -0.002 5.501
Cu Y Ga
6 2 1
direct
0.340 0.820 0.181 Cu
0.660 0.639 0.819 Cu
0.340 0.361 0.181 Cu
0.660 0.181 0.362 Cu
0.340 0.819 0.638 Cu
0.660 0.180 0.819 Cu
0.156 0.333 0.667 Y
0.844 0.667 0.333 Y
0.000 0.000 0.000 Ga
```

***

Record 15
DFT (GGA-PBE) results for a relaxed structure of MgCrTe2.

Values from the calculation:
* space-group type: No. 12
* formation energy without anion corrections: -39 meV per atom

POSCAR file:
```
MgCrTe2
1.0
5.766 0.305 0.211
0.183 5.771 0.211
1.586 1.620 3.715
Te Mg Cr
2 1 1
direct
0.500 0.500 0.000 Te
0.000 0.000 0.000 Te
0.000 0.500 0.500 Mg
0.500 0.000 0.500 Cr
```

***

Record 16
DFT (GGA-PBE) results for a relaxed structure of Mn2MoRh.

Values from the calculation:
* space-group type: No. 119
* calculated formation energy: -0.020 eV/atom

POSCAR file:
```
Mn2MoRh
1.0
-4.387 -0.729 1.468
-0.922 -4.574 0.398
3.487 2.700 1.575
Mn Mo Rh
2 1 1
direct
0.750 0.250 0.500 Mn
0.000 0.000 0.000 Mn
0.500 0.500 0.000 Mo
0.250 0.750 0.500 Rh
```

***

Record 17
DFT (GGA-PBE) results for a relaxed structure of Ac2TeP.

Values from the calculation:
* space-group type: No. 166
* formation energy without anion corrections: -1568 meV per atom
* energy above the lowest structure with this stoichiometry: 0.000 eV per atom

POSCAR file:
```
Ac2TeP
1.0
-0.441 -3.841 -2.332
2.941 -3.369 0.621
-3.657 -5.290 5.032
Ac P Te
2 1 1
direct
0.739 0.739 0.784 Ac
0.261 0.261 0.216 Ac
0.000 0.000 0.000 P
0.500 0.500 0.500 Te
```

***

Record 18
DFT (GGA-PBE) results for a relaxed structure of MnFeMoPt.

Values from the calculation:
* space-group type: No. 216
* calculated formation energy: -0.057 eV/atom

POSCAR file:
```
MnFeMoPt
1.0
-1.212 -0.260 4.127
2.868 -1.099 3.023
1.372 2.938 2.838
Fe Mn Mo Pt
1 1 1 1
direct
0.000 0.000 0.000 Fe
0.500 0.500 0.500 Mn
0.250 0.250 0.250 Mo
0.750 0.750 0.750 Pt
```

***

Record 19
DFT (GGA-PBE) results for a relaxed structure of Na2GeIrO4.

Values from the calculation:
* space-group type: No. 82
* formation energy without anion corrections: -1167 meV per atom

POSCAR file:
```
Na2GeIrO4
1.0
5.131 0.222 0.340
-1.986 4.736 -0.340
-1.986 -2.217 4.199
O Ge Ir Na
4 1 1 2
direct
0.335 0.877 0.836 O
0.960 0.459 0.123 O
0.040 0.164 0.499 O
0.665 0.501 0.541 O
0.000 0.500 0.500 Ge
0.500 0.250 0.750 Ir
0.000 0.000 0.000 Na
0.500 0.750 0.250 Na
```

***

Record 20
DFT (GGA-PBE) results for a relaxed structure of TcCl.

Values from the calculation:
* space-group type: No. 129
* formation energy without anion corrections: -65 meV per atom
* energy above the lowest structure with this stoichiometry: 0.061 eV per atom

POSCAR file:
```
TcCl
1.0
-1.048 2.400 1.307
-2.595 -1.313 0.328
2.543 -3.096 7.721
Cl Tc
2 2
direct
0.250 0.250 0.212 Cl
0.750 0.750 0.788 Cl
0.250 0.250 0.596 Tc
0.750 0.750 0.404 Tc
```